{"formula": "BaIrPb", "functional": "GGA-PBE", "state": "optimized geometry", "cell": [[3.662, 0.000, 0.000], [0.000, 3.679, 0.000], [0.000, 0.000, 12.346]], "species": ["Ba", "Ba", "Ir", "Ir", "Pb", "Pb"], "fractional_positions": [[0.000, 0.000, 0.000], [0.500, 0.500, 0.500], [0.000, 0.000, 0.320], [0.500, 0.500, 0.820], [0.000, 0.000, 0.723], [0.500, 0.500, 0.223]], "delta_e_f_ev_per_atom": 0.01, "rho_g_cm3": 10.7}


{"formula": "MoPt2W", "functional": "GGA-PBE", "state": "optimized geometry", "cell": [[7.159, 0.000, 0.000], [0.000, 7.159, 0.000], [0.000, 0.000, 5.367]], "species": ["Mo", "Mo", "Mo", "Mo", "Pt", "Pt", "Pt", "Pt", "Pt", "Pt", "Pt", "Pt", "W", "W", "W", "W"], "fractional_positions": [[0.000, 0.000, 0.000], [0.000, 0.500, 0.250], [0.500, 0.000, 0.750], [0.500, 0.500, 0.500], [0.243, 0.250, 0.625], [0.250, 0.743, 0.875], [0.250, 0.757, 0.375], [0.257, 0.250, 0.125], [0.743, 0.750, 0.125], [0.750, 0.243, 0.375], [0.750, 0.257, 0.875], [0.757, 0.750, 0.625], [0.000, 0.000, 0.500], [0.000, 0.500, 0.750], [0.500, 0.000, 0.250], [0.500, 0.500, 0.000]], "delta_e_f_ev_per_atom": 0.41, "rho_g_cm3": 16.2, "de_polymorph_mev_per_atom": 707}